Material: LiMn3Au
Method: DFT, PBE
State: optimized geometry

Cell: 5.015 5.015 5.015 Å, 90.00 90.00 90.00°
Sites, in units of the cell vectors:
Li: 0.000 0.000 0.000
Mn: 0.000 0.500 0.500
Mn: 0.500 0.000 0.500
Mn: 0.500 0.500 0.000
Au: 0.500 0.500 0.500

Values from the calculation:
Total moment   2.644 μB per atom
E_tot   -5.7000 eV/atom
Distance to the lowest polymorph of the same formula   0 meV per atom
Mass density   4.85 Mg/m³